! Na3B4C2 PBE relaxed; values from VASP
&SYSTEM
  ibrav = 0, nat = 18, ntyp = 3
/
ATOMIC_SPECIES
Na 22.99 Na.upf
C 12.01 C.upf
B 10.81 B.upf
ATOMIC_POSITIONS crystal
Na 0.668 0.668 0.002
Na 0.500 0.500 0.498
Na 0.334 0.334 0.002
Na 0.166 0.166 0.498
Na 0.002 0.002 0.005
Na 0.832 0.832 0.495
C 0.972 0.972 0.249
C 0.639 0.639 0.250
C 0.361 0.361 0.750
C 0.306 0.306 0.251
B 0.029 0.029 0.750
B 0.860 0.860 0.250
B 0.135 0.135 0.750
B 0.702 0.702 0.750
B 0.527 0.527 0.249
B 0.811 0.811 0.750
B 0.194 0.194 0.250
B 0.461 0.461 0.750
CELL_PARAMETERS angstrom
6.466 0.051 -4.281
5.825 2.807 -4.281
0.576 0.134 9.931
! * Fermi-level density of states: 3.6 states/eV per cell
! * ΔE_f: 0.116 eV/atom
! * ρ: 2.5 Mg/m³
! * energy above the lowest structure with this stoichiometry: 18.1 meV per atom